Material: TaAgP2O
Method: DFT, GGA-PBE
State: relaxed

POSCAR file:
```
TaAgP2O
1.0
4.684 0.000 0.000
0.000 4.684 0.000
0.000 0.000 5.547
Ta Ag P O
1 1 2 1
direct
0.000 0.000 0.000 Ta
0.000 0.000 0.500 Ag
0.000 0.500 0.000 P
0.500 0.000 0.000 P
0.500 0.500 0.500 O
```

Output
Total energy: -4.958 eV/atom
Size of the total moment: 0.40 Bohr magnetons per cell
SG: P4/mmm
Raw formation energy: 5.69 eV per formula unit
ΔE to the lowest computed polymorph: 1471.6 meV/atom

=====

Material: TbAgP2O6
Method: DFT, GGA-PBE
State: relaxed

POSCAR file:
```
TbAgP2O6
1.0
4.346 -5.233 0.000
4.346 5.233 0.000
-3.508 0.000 7.033
Tb Ag P O
2 2 4 12
direct
0.061 0.939 0.750 Tb
0.939 0.061 0.250 Tb
0.344 0.656 0.250 Ag
0.656 0.344 0.750 Ag
0.014 0.378 0.751 P
0.378 0.014 0.251 P
0.622 0.986 0.749 P
0.986 0.622 0.249 P
0.001 0.197 0.575 O
0.047 0.600 0.739 O
0.165 0.344 0.921 O
0.197 0.001 0.075 O
0.344 0.165 0.421 O
0.400 0.953 0.761 O
0.600 0.047 0.239 O
0.656 0.835 0.579 O
0.803 0.999 0.925 O
0.835 0.656 0.079 O
0.953 0.400 0.261 O
0.999 0.803 0.425 O
```

Output
Total energy: -6.907 eV/atom
Size of the total moment: 0.00 Bohr magnetons per cell
SG: C2/c
Raw formation energy: -21.02 eV per formula unit

=====

Material: TcAg2PO
Method: DFT, GGA-PBE
State: relaxed

POSCAR file:
```
TcAg2PO
1.0
5.003 0.000 0.000
0.000 5.003 0.000
0.000 0.000 3.371
Tc Ag P O
1 2 1 1
direct
0.000 0.000 0.000 Tc
0.000 0.500 0.500 Ag
0.500 0.000 0.500 Ag
0.500 0.500 0.500 P
0.500 0.500 0.000 O
```

Output
Total energy: -4.699 eV/atom
Size of the total moment: 3.39 Bohr magnetons per cell
SG: P4/mmm
Raw formation energy: 2.94 eV per formula unit

=====

Material: TcAgPO2
Method: DFT, GGA-PBE
State: relaxed

POSCAR file:
```
TcAgPO2
1.0
3.753 0.000 0.000
0.000 3.753 0.000
0.000 0.000 5.245
Tc Ag P O
1 1 1 2
direct
0.000 0.000 0.000 Tc
0.500 0.500 0.500 Ag
0.000 0.000 0.500 P
0.000 0.500 0.000 O
0.500 0.000 0.000 O
```

Output
Total energy: -6.307 eV/atom
Size of the total moment: 0.00 Bohr magnetons per cell
SG: P4/mmm
Raw formation energy: -2.99 eV per formula unit
ΔE to the lowest computed polymorph: 0.0 meV/atom

=====

Material: TcAgPO2
Method: DFT, GGA-PBE
State: relaxed

POSCAR file:
```
TcAgPO2
1.0
3.960 0.000 0.000
0.000 3.960 0.000
0.000 0.000 4.926
Tc Ag P O
1 1 1 2
direct
0.000 0.000 0.000 Tc
0.500 0.500 0.500 Ag
0.500 0.500 0.000 P
0.000 0.500 0.500 O
0.500 0.000 0.500 O
```

Output
Total energy: -4.757 eV/atom
Size of the total moment: 3.83 Bohr magnetons per cell
SG: P4/mmm
Raw formation energy: 4.76 eV per formula unit
ΔE to the lowest computed polymorph: 1549.7 meV/atom

=====

Material: AgTeP2O
Method: DFT, GGA-PBE
State: relaxed

POSCAR file:
```
AgTeP2O
1.0
4.898 0.000 0.000
0.000 4.898 0.000
0.000 0.000 3.984
Ag Te P O
1 1 2 1
direct
0.000 0.000 0.000 Ag
0.500 0.500 0.500 Te
0.000 0.500 0.000 P
0.500 0.000 0.000 P
0.000 0.000 0.500 O
```

Output
Total energy: -3.599 eV/atom
Size of the total moment: 0.00 Bohr magnetons per cell
SG: P4/mmm
Raw formation energy: 3.78 eV per formula unit
ΔE to the lowest computed polymorph: 115.1 meV/atom

=====

Material: Ag4TeP2O14
Method: DFT, GGA-PBE
State: relaxed

POSCAR file:
```
Ag4TeP2O14
1.0
5.702 0.000 0.000
0.000 18.513 0.000
-3.811 0.000 5.524
Ag Te P O
8 2 4 28
direct
0.080 0.180 0.433 Ag
0.080 0.320 0.933 Ag
0.251 0.063 0.121 Ag
0.251 0.437 0.621 Ag
0.749 0.563 0.379 Ag
0.749 0.937 0.879 Ag
0.920 0.680 0.067 Ag
0.920 0.820 0.567 Ag
0.000 0.000 0.500 Te
0.000 0.500 0.000 Te
0.245 0.667 0.588 P
0.245 0.833 0.088 P
0.755 0.167 0.912 P
0.755 0.333 0.412 P
0.024 0.212 0.981 O
0.024 0.288 0.481 O
0.177 0.588 0.616 O
0.177 0.912 0.116 O
0.178 0.075 0.399 O
0.178 0.425 0.899 O
0.247 0.050 0.811 O
0.247 0.450 0.311 O
0.305 0.674 0.387 O
0.305 0.826 0.887 O
0.319 0.562 0.093 O
0.319 0.938 0.593 O
0.497 0.198 0.680 O
0.497 0.302 0.180 O
0.503 0.698 0.820 O
0.503 0.802 0.320 O
0.681 0.062 0.407 O
0.681 0.438 0.907 O
0.695 0.174 0.113 O
0.695 0.326 0.613 O
0.753 0.550 0.689 O
0.753 0.950 0.189 O
0.822 0.575 0.101 O
0.822 0.925 0.601 O
0.823 0.088 0.884 O
0.823 0.412 0.384 O
0.976 0.712 0.519 O
0.976 0.788 0.019 O
```

Output
Total energy: -5.276 eV/atom
Size of the total moment: 0.00 Bohr magnetons per cell
SG: P2_1/c
Raw formation energy: -16.02 eV per formula unit

=====

Material: AgTeP2O
Method: DFT, GGA-PBE
State: relaxed

POSCAR file:
```
AgTeP2O
1.0
5.207 0.000 0.000
0.000 5.207 0.000
0.000 0.000 3.893
Ag Te P O
1 1 2 1
direct
0.000 0.000 0.000 Ag
0.500 0.500 0.500 Te
0.000 0.500 0.500 P
0.500 0.000 0.500 P
0.500 0.500 0.000 O
```

Output
Total energy: -3.714 eV/atom
Size of the total moment: 0.00 Bohr magnetons per cell
SG: P4/mmm
Raw formation energy: 3.20 eV per formula unit
ΔE to the lowest computed polymorph: 0.0 meV/atom

=====

Material: ThAgPO5
Method: DFT, GGA-PBE
State: relaxed

POSCAR file:
```
ThAgPO5
1.0
4.047 -4.482 0.000
4.047 4.482 0.000
-4.004 0.000 7.435
Th Ag P O
2 2 2 10
direct
0.000 0.500 0.000 Th
0.500 0.000 0.500 Th
0.072 0.928 0.750 Ag
0.928 0.072 0.250 Ag
0.409 0.591 0.750 P
0.591 0.409 0.250 P
0.168 0.832 0.250 O
0.242 0.636 0.860 O
0.325 0.341 0.122 O
0.341 0.325 0.622 O
0.364 0.758 0.640 O
0.636 0.242 0.360 O
0.659 0.675 0.378 O
0.675 0.659 0.878 O
0.758 0.364 0.140 O
0.832 0.168 0.750 O
```

Output
Total energy: -7.526 eV/atom
Size of the total moment: 0.00 Bohr magnetons per cell
SG: C2/c
Raw formation energy: -19.74 eV per formula unit

=====

Material: ThAgPO
Method: DFT, GGA-PBE
State: relaxed

POSCAR file:
```
ThAgPO
1.0
3.995 0.000 0.000
0.000 3.995 0.000
0.000 0.000 8.796
Th Ag P O
2 2 2 2
direct
0.250 0.250 0.154 Th
0.750 0.750 0.846 Th
0.250 0.750 0.500 Ag
0.750 0.250 0.500 Ag
0.250 0.250 0.702 P
0.750 0.750 0.298 P
0.250 0.750 0.000 O
0.750 0.250 0.000 O
```

Output
Total energy: -7.028 eV/atom
Size of the total moment: 0.00 Bohr magnetons per cell
SG: P4/nmm
Raw formation energy: -7.47 eV per formula unit

=====

Material: TiAgPO2
Method: DFT, GGA-PBE
State: relaxed

POSCAR file:
```
TiAgPO2
1.0
3.751 0.000 0.000
0.000 3.751 0.000
0.000 0.000 5.512
Ti Ag P O
1 1 1 2
direct
0.000 0.000 0.000 Ti
0.500 0.500 0.500 Ag
0.000 0.000 0.500 P
0.000 0.500 0.000 O
0.500 0.000 0.000 O
```

Output
Total energy: -6.348 eV/atom
Size of the total moment: 0.24 Bohr magnetons per cell
SG: P4/mmm
Raw formation energy: -5.67 eV per formula unit
ΔE to the lowest computed polymorph: 0.0 meV/atom

=====

Material: TiAgPO2
Method: DFT, GGA-PBE
State: relaxed

POSCAR file:
```
TiAgPO2
1.0
3.975 0.000 0.000
0.000 3.975 0.000
0.000 0.000 4.819
Ti Ag P O
1 1 1 2
direct
0.000 0.000 0.000 Ti
0.500 0.500 0.500 Ag
0.500 0.500 0.000 P
0.000 0.500 0.500 O
0.500 0.000 0.500 O
```

Output
Total energy: -4.915 eV/atom
Size of the total moment: 0.57 Bohr magnetons per cell
SG: P4/mmm
Raw formation energy: 1.50 eV per formula unit
ΔE to the lowest computed polymorph: 1433.2 meV/atom

=====

Q: Look up the raw formation energy of the tenth one.
A: -7.47 eV per formula unit